(1)
VASP calculation (PBE) on crystalline K3RbCu4Cl12 at its relaxed geometry.

a = 9.3228 Å, b = 9.3228 Å, c = 9.3228 Å
α = 101.47°, β = 101.47°, γ = 101.47°
Closest atoms and distances in Å follow each position.
Atoms (fractional coordinates):
K (0.0000, 0.5432, 0.4568)  6 Cl 3.14-3.20
K (0.4568, 0.0000, 0.5432)  6 Cl 3.14-3.20
K (0.5432, 0.4568, 0.0000)  6 Cl 3.14-3.20
Rb (0.0000, 0.0000, 0.0000)  6 Cl 3.41
Cu (0.0520, 0.5000, 0.9480)  3 Cl 2.15-2.19
Cu (0.5000, 0.5000, 0.5000)  3 Cl 2.16
Cu (0.5000, 0.9480, 0.0520)  3 Cl 2.15-2.19
Cu (0.9480, 0.0520, 0.5000)  3 Cl 2.15-2.19
Cl (0.0089, 0.6515, 0.8074)  1 Cu 2.15
Cl (0.0994, 0.9006, 0.5000)  1 Cu 2.19
Cl (0.1926, 0.3485, 0.9911)  1 Cu 2.15
Cl (0.3485, 0.9911, 0.1926)  1 Cu 2.15
Cl (0.3504, 0.6496, 0.5000)  1 Cu 2.16
Cl (0.5000, 0.0994, 0.9006)  1 Cu 2.19
Cl (0.5000, 0.3504, 0.6496)  1 Cu 2.16
Cl (0.6496, 0.5000, 0.3504)  1 Cu 2.16
Cl (0.6515, 0.8074, 0.0089)  1 Cu 2.15
Cl (0.8074, 0.0089, 0.6515)  1 Cu 2.15
Cl (0.9006, 0.5000, 0.0994)  1 Cu 2.19
Cl (0.9911, 0.1926, 0.3485)  1 Cu 2.15

Computed properties:
Crystal system: trigonal
E_form (uncorrected): -20.683 eV per formula unit
Calculated total energy: -3.174 eV per atom
Theoretical density: 1944 kg/m³

---

(2)
VASP calculation (PBE) on crystalline KRb2Cu2Cl7 at its relaxed geometry.

a = 4.9300 Å, b = 4.9300 Å, c = 13.2444 Å
α = 100.59°, β = 100.59°, γ = 90.00°
Closest atoms and distances in Å follow each position.
Atoms (fractional coordinates):
K (0.0000, 0.0000, 0.0000)  12 Cl 3.37-3.49
Rb (0.1775, 0.1775, 0.3603)  9 Cl 3.37-3.50
Rb (0.8225, 0.8225, 0.6397)  9 Cl 3.37-3.50
Cu (0.4091, 0.4091, 0.8121)  6 Cl 2.40-2.47
Cu (0.5909, 0.5909, 0.1879)  6 Cl 2.40-2.47
Cl (0.0878, 0.5877, 0.1804)  2 Cu 2.46-2.47
Cl (0.3155, 0.3155, 0.6244)  1 Cu 2.40
Cl (0.4123, 0.9122, 0.8196)  2 Cu 2.46-2.47
Cl (0.5000, 0.5000, 0.0000)  2 Cu 2.40
Cl (0.5877, 0.0878, 0.1804)  2 Cu 2.46-2.47
Cl (0.6845, 0.6845, 0.3756)  1 Cu 2.40
Cl (0.9122, 0.4123, 0.8196)  2 Cu 2.46-2.47

Computed properties:
Crystal system: monoclinic
E_form (uncorrected): -14.808 eV per formula unit
Calculated total energy: -3.247 eV per atom
Theoretical density: 3127 kg/m³

---

(3)
VASP calculation (PBE) on crystalline K2RbCuCl4 at its relaxed geometry.

a = 7.6383 Å, b = 7.6383 Å, c = 15.5211 Å
α = 90.00°, β = 90.00°, γ = 147.37°
Closest atoms and distances in Å follow each position.
Atoms (fractional coordinates):
K (0.1348, 0.8652, 0.5524)  6 Cl 3.03-3.17
K (0.1348, 0.8652, 0.9476)  6 Cl 3.03-3.17
K (0.8652, 0.1348, 0.0524)  6 Cl 3.03-3.17
K (0.8652, 0.1348, 0.4476)  6 Cl 3.03-3.17
Rb (0.3973, 0.6027, 0.7500)  6 Cl 3.40-3.52
Rb (0.6027, 0.3973, 0.2500)  6 Cl 3.40-3.52
Cu (0.3291, 0.6709, 0.2500)  4 Cl 2.34-2.47
Cu (0.6709, 0.3291, 0.7500)  4 Cl 2.34-2.47
Cl (0.0877, 0.9123, 0.7500)  2 Cu 2.47
Cl (0.2309, 0.7691, 0.1308)  1 Cu 2.34
Cl (0.2309, 0.7691, 0.3692)  1 Cu 2.34
Cl (0.5000, 0.5000, 0.0000)  4 K 3.03
Cl (0.5000, 0.5000, 0.5000)  4 K 3.03
Cl (0.7691, 0.2309, 0.6308)  1 Cu 2.34
Cl (0.7691, 0.2309, 0.8692)  1 Cu 2.34
Cl (0.9123, 0.0877, 0.2500)  2 Cu 2.47

Computed properties:
Crystal system: orthorhombic
E_form (uncorrected): -12.401 eV per formula unit
Calculated total energy: -3.381 eV per atom
Theoretical density: 2510 kg/m³

---

(4)
VASP calculation (PBE) on crystalline K3Cu2RhCl9 at its relaxed geometry.

a = 6.9209 Å, b = 6.9209 Å, c = 8.4692 Å
α = 90.00°, β = 90.00°, γ = 120.00°
Closest atoms and distances in Å follow each position.
Atoms (fractional coordinates):
K (0.0000, 0.0000, 0.0000)  12 Cl 3.46-3.47
K (0.3333, 0.6667, 0.6662)  12 Cl 3.45-3.46
K (0.6667, 0.3333, 0.3338)  12 Cl 3.45-3.46
Cu (0.3333, 0.6667, 0.1525)  6 Cl 2.38-2.57
Cu (0.6667, 0.3333, 0.8475)  6 Cl 2.38-2.57
Rh (0.0000, 0.0000, 0.5000)  6 Cl 2.40
Cl (0.0000, 0.5000, 0.0000)  2 Cu 2.38
Cl (0.1638, 0.3277, 0.3375)  1 Rh 2.40, 1 Cu 2.57
Cl (0.1638, 0.8362, 0.3375)  1 Rh 2.40, 1 Cu 2.57
Cl (0.3277, 0.1638, 0.6625)  1 Rh 2.40, 1 Cu 2.57
Cl (0.5000, 0.0000, 0.0000)  2 Cu 2.38
Cl (0.5000, 0.5000, 0.0000)  2 Cu 2.38
Cl (0.6723, 0.8362, 0.3375)  1 Rh 2.40, 1 Cu 2.57
Cl (0.8362, 0.1638, 0.6625)  1 Rh 2.40, 1 Cu 2.57
Cl (0.8362, 0.6723, 0.6625)  1 Rh 2.40, 1 Cu 2.57

Computed properties:
Crystal system: trigonal
E_form (uncorrected): -16.321 eV per formula unit
Calculated total energy: -3.452 eV per atom
Theoretical density: 3150 kg/m³

---

(5)
VASP calculation (PBE) on crystalline KCu2RhCl8 at its relaxed geometry.

a = 6.1669 Å, b = 6.2147 Å, c = 8.5880 Å
α = 72.10°, β = 73.51°, γ = 73.68°
Closest atoms and distances in Å follow each position.
Atoms (fractional coordinates):
K (0.0000, 0.0000, 0.0000)  6 Cl 3.18-3.44
Cu (0.4374, 0.4476, 0.2225)  5 Cl 2.28-2.48
Cu (0.5626, 0.5524, 0.7775)  5 Cl 2.28-2.48
Rh (0.0000, 0.0000, 0.5000)  6 Cl 2.36-2.38
Cl (0.1725, 0.7246, 0.7158)  1 Rh 2.38, 1 Cu 2.48
Cl (0.2499, 0.2436, 0.4686)  1 Cu 2.28, 1 Rh 2.36
Cl (0.2737, 0.8192, 0.2963)  1 Rh 2.37, 1 Cu 2.45
Cl (0.3630, 0.3218, 0.0149)  2 Cu 2.34-2.35
Cl (0.6370, 0.6782, 0.9851)  2 Cu 2.34-2.35
Cl (0.7263, 0.1808, 0.7037)  1 Rh 2.37, 1 Cu 2.45
Cl (0.7501, 0.7564, 0.5314)  1 Cu 2.28, 1 Rh 2.36
Cl (0.8275, 0.2754, 0.2842)  1 Rh 2.38, 1 Cu 2.48

Computed properties:
Crystal system: triclinic
E_form (uncorrected): -8.574 eV per formula unit
Calculated total energy: -3.332 eV per atom
Theoretical density: 3127 kg/m³

---

(6)
VASP calculation (PBE) on crystalline KCuSb2Cl at its relaxed geometry.

a = 5.4362 Å, b = 5.4362 Å, c = 5.4818 Å
α = 90.00°, β = 90.00°, γ = 90.00°
Closest atoms and distances in Å follow each position.
Atoms (fractional coordinates):
K (0.0000, 0.0000, 0.0000)  2 Cl 2.74
Cu (0.5000, 0.5000, 0.0000)  4 K 3.84, 8 Sb 3.86
Sb (0.0000, 0.5000, 0.5000)  2 Cl 2.72
Sb (0.5000, 0.0000, 0.5000)  2 Cl 2.72
Cl (0.0000, 0.0000, 0.5000)  4 Sb 2.72, 2 K 2.74

Computed properties:
Crystal system: tetragonal
E_form (uncorrected): 2.466 eV per formula unit
Calculated total energy: -2.564 eV per atom
Theoretical density: 3912 kg/m³